Entry 1:
A plane-wave DFT calculation with GGA-PBE was carried out for a relaxed structure of MgPb2Cl2.

Summary:
ΔE to the lowest computed polymorph in eV per atom: 0.160
Space group: I4/mmm, No. 139
VASP energy in eV/atom: -2.80

Cell: 7.578 7.578 7.578 Å, 143.33 143.33 52.83°
Sites, in units of the cell vectors:
Mg 0.000 0.000 0.000
Pb 0.385 0.385 0.000
Pb 0.615 0.615 0.000
Cl 0.250 0.750 0.500
Cl 0.750 0.250 0.500

Entry 2:
A plane-wave DFT calculation with GGA-PBE was carried out for a relaxed structure of Mg4PbCl.

Summary:
Space group: F-43m, No. 216
VASP energy in eV/atom: -2.10

Cell: 5.953 5.953 5.953 Å, 60.00 60.00 60.00°
Sites, in units of the cell vectors:
Mg 0.124 0.124 0.124
Mg 0.124 0.124 0.627
Mg 0.124 0.627 0.124
Mg 0.627 0.124 0.124
Pb 0.750 0.750 0.750
Cl 0.500 0.500 0.500

Entry 3:
A plane-wave DFT calculation with GGA-PBE was carried out for a relaxed structure of MgPbCl2.

Summary:
ΔE to the lowest computed polymorph in eV per atom: 0.387
Space group: P4mm, No. 99
VASP energy in eV/atom: -3.11

Cell: 3.704 3.704 7.429 Å, 90.00 90.00 90.00°
Sites, in units of the cell vectors:
Mg 0.000 0.000 0.000
Pb 0.500 0.500 0.382
Cl 0.000 0.000 0.678
Cl 0.500 0.500 0.968

Entry 4:
A plane-wave DFT calculation with GGA-PBE was carried out for a relaxed structure of MgPbCl2.

Summary:
ΔE to the lowest computed polymorph in eV per atom: 0.241
Space group: Cm, No. 8
VASP energy in eV/atom: -3.25

Cell: 6.242 6.242 5.932 Å, 100.55 100.55 31.19°
Sites, in units of the cell vectors:
Mg 0.000 0.000 0.000
Pb 0.693 0.693 0.384
Cl 0.360 0.360 0.069
Cl 0.547 0.547 0.720

Entry 5:
A plane-wave DFT calculation with GGA-PBE was carried out for a relaxed structure of MgPbCl2.

Summary:
ΔE to the lowest computed polymorph in eV per atom: 0.466
Space group: I-42d, No. 122
VASP energy in eV/atom: -3.03

Cell: 7.220 7.220 7.220 Å, 120.76 120.76 88.69°
Sites, in units of the cell vectors:
Mg 0.000 0.000 0.000
Mg 0.750 0.250 0.500
Pb 0.250 0.750 0.500
Pb 0.500 0.500 0.000
Cl 0.375 0.238 0.363
Cl 0.762 0.125 0.137
Cl 0.875 0.012 0.637
Cl 0.988 0.625 0.863

Entry 6:
A plane-wave DFT calculation with GGA-PBE was carried out for a relaxed structure of MgPb4Cl.

Summary:
Space group: F-43m, No. 216
VASP energy in eV/atom: -3.00

Cell: 6.471 6.471 6.471 Å, 60.00 60.00 60.00°
Sites, in units of the cell vectors:
Mg 0.000 0.000 0.000
Pb 0.123 0.626 0.626
Pb 0.626 0.123 0.626
Pb 0.626 0.626 0.123
Pb 0.626 0.626 0.626
Cl 0.250 0.250 0.250

Entry 7:
A plane-wave DFT calculation with GGA-PBE was carried out for a relaxed structure of Rb3MgPb2Cl9.

Summary:
Space group: P-3m1, No. 164
VASP energy in eV/atom: -3.51

Cell: 7.726 7.726 9.559 Å, 90.00 90.00 120.00°
Sites, in units of the cell vectors:
Rb 0.000 0.000 0.000
Rb 0.333 0.667 0.652
Rb 0.667 0.333 0.348
Mg 0.000 0.000 0.500
Pb 0.333 0.667 0.181
Pb 0.667 0.333 0.819
Cl 0.000 0.500 0.000
Cl 0.155 0.310 0.349
Cl 0.155 0.845 0.349
Cl 0.310 0.155 0.651
Cl 0.500 0.000 0.000
Cl 0.500 0.500 0.000
Cl 0.690 0.845 0.349
Cl 0.845 0.155 0.651
Cl 0.845 0.690 0.651

Entry 8:
A plane-wave DFT calculation with GGA-PBE was carried out for a relaxed structure of RbMgPbCl6.

Summary:
Space group: P-31c, No. 163
VASP energy in eV/atom: -3.35

Cell: 6.909 6.909 14.469 Å, 90.00 90.00 120.00°
Sites, in units of the cell vectors:
Rb 0.000 0.000 0.000
Rb 0.000 0.000 0.500
Mg 0.333 0.667 0.250
Mg 0.667 0.333 0.750
Pb 0.333 0.667 0.750
Pb 0.667 0.333 0.250
Cl 0.024 0.391 0.145
Cl 0.024 0.633 0.355
Cl 0.367 0.391 0.355
Cl 0.367 0.976 0.145
Cl 0.391 0.024 0.645
Cl 0.391 0.367 0.855
Cl 0.609 0.633 0.145
Cl 0.609 0.976 0.355
Cl 0.633 0.024 0.855
Cl 0.633 0.609 0.645
Cl 0.976 0.367 0.645
Cl 0.976 0.609 0.855

Entry 9:
A plane-wave DFT calculation with GGA-PBE was carried out for a relaxed structure of Rb2MgPbCl6.

Summary:
Space group: Fm-3m, No. 225
VASP energy in eV/atom: -3.52

Cell: 7.601 7.601 7.601 Å, 60.00 60.00 60.00°
Sites, in units of the cell vectors:
Rb 0.250 0.250 0.250
Rb 0.750 0.750 0.750
Mg 0.000 0.000 0.000
Pb 0.500 0.500 0.500
Cl 0.234 0.234 0.766
Cl 0.234 0.766 0.234
Cl 0.234 0.766 0.766
Cl 0.766 0.234 0.234
Cl 0.766 0.234 0.766
Cl 0.766 0.766 0.234

Entry 10:
A plane-wave DFT calculation with GGA-PBE was carried out for a relaxed structure of Rb3Mg2PbCl9.

Summary:
Space group: P-3m1, No. 164
VASP energy in eV/atom: -3.52

Cell: 7.405 7.405 9.261 Å, 90.00 90.00 120.00°
Sites, in units of the cell vectors:
Rb 0.000 0.000 0.000
Rb 0.333 0.667 0.685
Rb 0.667 0.333 0.315
Mg 0.333 0.667 0.153
Mg 0.667 0.333 0.847
Pb 0.000 0.000 0.500
Cl 0.000 0.500 0.000
Cl 0.175 0.351 0.312
Cl 0.175 0.825 0.312
Cl 0.351 0.175 0.688
Cl 0.500 0.000 0.000
Cl 0.500 0.500 0.000
Cl 0.649 0.825 0.312
Cl 0.825 0.175 0.688
Cl 0.825 0.649 0.688

Entry 11:
A plane-wave DFT calculation with GGA-PBE was carried out for a relaxed structure of RbMg2PbCl8.

Summary:
Space group: P-1, No. 2
VASP energy in eV/atom: -3.35

Cell: 6.563 6.595 9.223 Å, 76.64 76.98 76.59°
Sites, in units of the cell vectors:
Rb 0.000 0.000 0.000
Mg 0.456 0.454 0.212
Mg 0.544 0.546 0.788
Pb 0.000 0.000 0.500
Cl 0.191 0.717 0.732
Cl 0.274 0.800 0.272
Cl 0.280 0.266 0.456
Cl 0.343 0.328 0.024
Cl 0.657 0.672 0.976
Cl 0.720 0.734 0.544
Cl 0.726 0.200 0.728
Cl 0.809 0.283 0.268

Entry 12:
A plane-wave DFT calculation with GGA-PBE was carried out for a relaxed structure of MgPbS2Cl.

Summary:
ΔE to the lowest computed polymorph in eV per atom: 0.000
Space group: P4/mmm, No. 123
VASP energy in eV/atom: -3.64

Cell: 5.093 5.093 5.205 Å, 90.00 90.00 90.00°
Sites, in units of the cell vectors:
Mg 0.000 0.000 0.000
Pb 0.500 0.500 0.500
S 0.000 0.500 0.000
S 0.500 0.000 0.000
Cl 0.000 0.000 0.500

Entry 13:
A plane-wave DFT calculation with GGA-PBE was carried out for a relaxed structure of MgPb2S2Cl2.

Summary:
Space group: I4/mmm, No. 139
VASP energy in eV/atom: -3.97

Cell: 8.192 8.192 8.192 Å, 144.90 144.90 50.48°
Sites, in units of the cell vectors:
Mg 0.000 0.000 0.000
Pb 0.381 0.381 0.000
Pb 0.619 0.619 0.000
S 0.000 0.500 0.500
S 0.500 0.000 0.500
Cl 0.180 0.180 0.000
Cl 0.820 0.820 0.000

Entry 14:
A plane-wave DFT calculation with GGA-PBE was carried out for a relaxed structure of MgPbSCl2.

Summary:
ΔE to the lowest computed polymorph in eV per atom: 0.643
Space group: P4/mmm, No. 123
VASP energy in eV/atom: -2.96

Cell: 5.353 5.353 5.497 Å, 90.00 90.00 90.00°
Sites, in units of the cell vectors:
Mg 0.000 0.000 0.000
Pb 0.500 0.500 0.500
S 0.500 0.500 0.000
Cl 0.000 0.500 0.500
Cl 0.500 0.000 0.500

Entry 15:
A plane-wave DFT calculation with GGA-PBE was carried out for a relaxed structure of MgPbS2Cl.

Summary:
ΔE to the lowest computed polymorph in eV per atom: 0.515
Space group: P4/mmm, No. 123
VASP energy in eV/atom: -3.12

Cell: 5.220 5.220 5.268 Å, 90.00 90.00 90.00°
Sites, in units of the cell vectors:
Mg 0.000 0.000 0.000
Pb 0.500 0.500 0.500
S 0.000 0.500 0.500
S 0.500 0.000 0.500
Cl 0.500 0.500 0.000

Entry 16:
A plane-wave DFT calculation with GGA-PBE was carried out for a relaxed structure of MgPbSCl2.

Summary:
ΔE to the lowest computed polymorph in eV per atom: 0.000
Space group: P4/mmm, No. 123
VASP energy in eV/atom: -3.61

Cell: 5.021 5.021 5.491 Å, 90.00 90.00 90.00°
Sites, in units of the cell vectors:
Mg 0.000 0.000 0.000
Pb 0.500 0.500 0.500
S 0.000 0.000 0.500
Cl 0.000 0.500 0.000
Cl 0.500 0.000 0.000

Entry 17:
A plane-wave DFT calculation with GGA-PBE was carried out for a relaxed structure of MgSbPbCl2.

Summary:
Space group: P4/mmm, No. 123
VASP energy in eV/atom: -3.20

Cell: 4.798 4.798 8.913 Å, 90.00 90.00 90.00°
Sites, in units of the cell vectors:
Mg 0.000 0.000 0.000
Sb 0.500 0.500 0.500
Pb 0.000 0.000 0.500
Cl 0.000 0.500 0.000
Cl 0.500 0.000 0.000

Entry 18:
A plane-wave DFT calculation with GGA-PBE was carried out for a relaxed structure of MgSn2PbCl8.

Summary:
Space group: P-1, No. 2
VASP energy in eV/atom: -3.56

Cell: 6.393 6.639 8.441 Å, 89.91 89.95 89.38°
Sites, in units of the cell vectors:
Mg 0.000 0.000 0.000
Sn 0.499 0.498 0.764
Sn 0.501 0.502 0.236
Pb 0.000 0.000 0.500
Cl 0.217 0.840 0.780
Cl 0.219 0.843 0.221
Cl 0.247 0.309 0.998
Cl 0.274 0.343 0.502
Cl 0.726 0.657 0.498
Cl 0.753 0.691 0.002
Cl 0.781 0.157 0.779
Cl 0.783 0.160 0.220

Entry 19:
A plane-wave DFT calculation with GGA-PBE was carried out for a relaxed structure of MgSnPbCl6.

Summary:
Space group: P4_2nm, No. 102
VASP energy in eV/atom: -3.57

Cell: 6.520 6.520 12.495 Å, 90.00 90.00 90.00°
Sites, in units of the cell vectors:
Mg 0.000 0.000 0.000
Mg 0.500 0.500 0.500
Sn 0.000 0.000 0.666
Sn 0.500 0.500 0.166
Pb 0.000 0.000 0.334
Pb 0.500 0.500 0.834
Cl 0.184 0.184 0.849
Cl 0.188 0.188 0.148
Cl 0.221 0.221 0.502
Cl 0.279 0.721 0.002
Cl 0.312 0.688 0.648
Cl 0.316 0.684 0.349
Cl 0.684 0.316 0.349
Cl 0.688 0.312 0.648
Cl 0.721 0.279 0.002
Cl 0.779 0.779 0.502
Cl 0.812 0.812 0.148
Cl 0.816 0.816 0.849

Entry 20:
A plane-wave DFT calculation with GGA-PBE was carried out for a relaxed structure of SrMgPbCl2.

Summary:
Space group: P4/mmm, No. 123
VASP energy in eV/atom: -2.70

Cell: 5.674 5.674 5.878 Å, 90.00 90.00 90.00°
Sites, in units of the cell vectors:
Sr 0.000 0.000 0.000
Mg 0.500 0.500 0.000
Pb 0.500 0.500 0.500
Cl 0.000 0.500 0.500
Cl 0.500 0.000 0.500

Entry 21:
A plane-wave DFT calculation with GGA-PBE was carried out for a relaxed structure of SrMgPbCl6.

Summary:
Space group: P-31c, No. 163
VASP energy in eV/atom: -3.81

Cell: 7.018 7.018 12.286 Å, 90.00 90.00 120.00°
Sites, in units of the cell vectors:
Sr 0.333 0.667 0.250
Sr 0.667 0.333 0.750
Mg 0.333 0.667 0.750
Mg 0.667 0.333 0.250
Pb 0.000 0.000 0.000
Pb 0.000 0.000 0.500
Cl 0.039 0.369 0.631
Cl 0.039 0.670 0.869
Cl 0.330 0.369 0.869
Cl 0.330 0.961 0.631
Cl 0.369 0.039 0.131
Cl 0.369 0.330 0.369
Cl 0.631 0.670 0.631
Cl 0.631 0.961 0.869
Cl 0.670 0.039 0.369
Cl 0.670 0.631 0.131
Cl 0.961 0.330 0.131
Cl 0.961 0.631 0.369

Entry 22:
A plane-wave DFT calculation with GGA-PBE was carried out for a relaxed structure of MgTlPbCl6.

Summary:
Space group: P-31c, No. 163
VASP energy in eV/atom: -3.28

Cell: 6.882 6.882 13.929 Å, 90.00 90.00 120.00°
Sites, in units of the cell vectors:
Mg 0.333 0.667 0.250
Mg 0.667 0.333 0.750
Tl 0.000 0.000 0.000
Tl 0.000 0.000 0.500
Pb 0.333 0.667 0.750
Pb 0.667 0.333 0.250
Cl 0.024 0.383 0.142
Cl 0.024 0.641 0.358
Cl 0.359 0.383 0.358
Cl 0.359 0.976 0.142
Cl 0.383 0.024 0.642
Cl 0.383 0.359 0.858
Cl 0.617 0.641 0.142
Cl 0.617 0.976 0.358
Cl 0.641 0.024 0.858
Cl 0.641 0.617 0.642
Cl 0.976 0.359 0.642
Cl 0.976 0.617 0.858

Entry 23:
A plane-wave DFT calculation with GGA-PBE was carried out for a relaxed structure of Mg2Tl3PbCl9.

Summary:
Space group: P-3m1, No. 164
VASP energy in eV/atom: -3.39

Cell: 7.282 7.282 9.495 Å, 90.00 90.00 120.00°
Sites, in units of the cell vectors:
Mg 0.333 0.667 0.160
Mg 0.667 0.333 0.840
Tl 0.000 0.000 0.000
Tl 0.333 0.667 0.730
Tl 0.667 0.333 0.270
Pb 0.000 0.000 0.500
Cl 0.000 0.500 0.000
Cl 0.170 0.341 0.302
Cl 0.170 0.830 0.302
Cl 0.341 0.170 0.698
Cl 0.500 0.000 0.000
Cl 0.500 0.500 0.000
Cl 0.659 0.830 0.302
Cl 0.830 0.170 0.698
Cl 0.830 0.659 0.698

no.,formation energy from raw total energies (meV per atom),M_tot (μB/cell)
1,-257,0.0
2,-110,0.0
3,-859,0.0
4,-1005,0.0
5,-780,0.0
6,47,0.0
7,-1609,0.0
8,-1422,0.0
9,-1686,0.0
10,-1755,0.0
11,-1460,0.0
12,-556,0.0
13,-971,0.0
14,-339,0.0
15,-41,0.0
16,-983,0.0
17,-575,0.4
18,-1221,0.0
19,-1304,0.0
20,-566,0.0
21,-1801,0.0
22,-1199,0.0
23,-1350,0.0